[1]
! TaPt2Se PBE optimized geometry; values from VASP
! * space-group type: I-42d (122)
! * ΔE_f (raw): 76 meV/atom
&SYSTEM
  ibrav = 0, nat = 8, ntyp = 3
/
ATOMIC_SPECIES
Pt 195.08 Pt.upf
Ta 180.95 Ta.upf
Se 78.96 Se.upf
ATOMIC_POSITIONS crystal
Pt 0.375 0.372 0.750
Pt 0.628 0.125 0.250
Pt 0.122 0.625 0.250
Pt 0.875 0.878 0.750
Ta 0.000 0.000 0.000
Ta 0.750 0.250 0.500
Se 0.500 0.500 0.000
Se 0.250 0.750 0.500
CELL_PARAMETERS angstrom
-0.839 -2.173 5.773
1.542 -5.715 -1.927
4.980 -3.037 2.937

[2]
! K2VCu PBE optimized geometry; values from VASP
! * formation enthalpy at 0 K: 110.4 kJ per mole of atoms
! * space-group type: Fm-3m (225)
&SYSTEM
  ibrav = 0, nat = 4, ntyp = 3
/
ATOMIC_SPECIES
K 39.10 K.upf
Cu 63.55 Cu.upf
V 50.94 V.upf
ATOMIC_POSITIONS crystal
K 0.250 0.250 0.250
K 0.750 0.750 0.750
Cu 0.500 0.500 0.500
V 0.000 0.000 0.000
CELL_PARAMETERS angstrom
2.823 -4.818 1.364
-2.897 -4.901 0.795
0.444 -4.256 -3.839

Q: What is the formula in the first record?
A: TaPt2Se